# Na4La3HfTe8

An optimized crystal structure of Na4La3HfTe8 (PBE-GGA, Alexandria via LeMat-Bulk).

The structure belongs to space group R-3m (No. 166, hexagonal axes); the cell edges are 9.0142, 9.0142 and 22.7128 Å and the angles 90.00°, 90.00° and 120.00°. The distinct sites, in fractional coordinates, are Na at (0.0000, 0.0000, 0.0000), Na at (0.0000, 0.5000, 0.0000), La at (0.0000, 0.5000, 0.5000), Hf at (0.0000, 0.0000, 0.5000), Te at (0.0000, 0.0000, 0.2495) and Te at (0.0256, 0.5128, 0.2441).

For the density of states at the Fermi level, the calculation gives 15.74 states/eV per cell. As for the uncorrected formation energy: -1.2282 eV/atom. As for the total magnetic moment: 0.03 μB/cell.